# 1
Nd2P4Rh5 PBE optimized geometry; energy relative to the elements = -909 meV per atom; symmetry = No. 69; M_tot = 0.00 μB/atom; density = 8152 kg/m³; uncorrected energy = -7.09 eV per atom
1.0
-5.106 -0.578 -1.893
-1.105 -4.096 -3.691
-4.021 -4.662 4.345
P Nd Rh
4 2 5
Direct
0.471 0.315 0.743
0.529 0.685 0.257
0.214 0.315 0.257
0.786 0.685 0.743
0.137 0.000 0.727
0.863 0.000 0.273
0.500 0.000 0.000
0.000 0.500 0.000
0.750 0.500 0.500
0.500 0.500 0.000
0.250 0.500 0.500

# 2
YAlCu2Au4 PBE optimized geometry; energy relative to the elements = -381 meV per atom; symmetry = No. 166; M_tot = 0.00 μB/atom; density = 12188 kg/m³; uncorrected energy = -4.32 eV per atom
1.0
4.638 0.000 0.000
2.319 4.016 0.000
2.319 1.339 7.541
Y Au Al Cu
1 4 1 2
Direct
0.000 0.000 0.000
0.866 0.866 0.402
0.134 0.134 0.598
0.388 0.388 0.837
0.612 0.612 0.163
0.500 0.500 0.500
0.257 0.257 0.230
0.743 0.743 0.770

# 3
Sm2CdGa2Rh5 PBE optimized geometry; energy relative to the elements = -666 meV per atom; symmetry = No. 127; M_tot = 0.00 μB/atom; density = 9926 kg/m³; uncorrected energy = -5.98 eV per atom
1.0
3.621 0.000 0.000
0.000 9.930 0.000
0.000 0.000 9.930
Ga Rh Cd Sm
4 10 2 4
Direct
0.000 0.123 0.623
0.000 0.877 0.377
0.000 0.623 0.877
0.000 0.377 0.123
0.500 0.210 0.068
0.500 0.790 0.932
0.500 0.068 0.790
0.500 0.710 0.432
0.500 0.568 0.710
0.500 0.932 0.210
0.500 0.432 0.290
0.500 0.290 0.568
0.500 0.000 0.500
0.500 0.500 0.000
0.000 0.000 0.000
0.000 0.500 0.500
0.000 0.825 0.675
0.000 0.675 0.175
0.000 0.325 0.825
0.000 0.175 0.325

# 4
AgTeSe PBE optimized geometry; relative energy among the computed polymorphs = 0.249 eV/atom; symmetry = No. 216; formation energy from raw total energies = 226.0 meV/atom; M_tot = 0.00 μB/atom; density = 6715 kg/m³; uncorrected energy = -2.93 eV per atom
1.0
-4.518 -1.467 0.623
-2.656 -1.252 -3.786
-1.145 -4.598 -0.708
Ag Se Te
1 1 1
Direct
0.750 0.750 0.750
0.000 0.000 0.000
0.500 0.500 0.500